Computed, not measured: a relaxed Nd2HfAl4Pd3 crystal at the PBE level of DFT.

Computed properties:
Raw total energy ... -5.6777 eV/atom
Space-group type ... P-4m2
Crystal system ... tetragonal

Cell lengths 4.2446, 4.2446, 11.3331 Å; angles 90.00, 90.00, 90.00 degrees
Last column: nearest neighbours and their distance in Å.
Element x y z (fractional)
Nd  0.5000  0.0000  0.2415  8 Al 3.21-3.46, 4 Pd 3.29
Nd  0.0000  0.5000  0.7585  8 Al 3.21-3.46, 4 Pd 3.29
Hf  0.5000  0.5000  0.5000  4 Al 2.77, 4 Pd 3.00
Al  0.5000  0.5000  0.0000  4 Pd 2.54
Al  0.0000  0.0000  0.0000  4 Pd 2.54
Al  0.5000  0.0000  0.6569  3 Pd 2.49-2.77, 2 Hf 2.77
Al  0.0000  0.5000  0.3431  3 Pd 2.49-2.77, 2 Hf 2.77
Pd  0.0000  0.0000  0.5000  4 Al 2.77, 4 Hf 3.00
Pd  0.5000  0.0000  0.8767  5 Al 2.49-2.54
Pd  0.0000  0.5000  0.1233  5 Al 2.49-2.54